(1)
This record from the Alexandria database describes an optimized crystal structure of K6Cl5. The functional is GGA-PBE.

The structure in extended XYZ format:
```
11
Lattice="7.6942 -0.4923 -1.5226 2.3331 6.4415 -3.8511 0.2011 -0.1733 7.8514" Properties=species:S:1:pos:R:3 pbc="T T T"
K 6.8093 2.2880 -0.1122
K 3.4190 3.4879 2.5899
K 7.4843 4.4395 -4.0103
K 2.5430 1.5097 -1.3633
K 4.1413 5.7186 -1.2607
K 6.0871 0.0572 3.7384
Cl 0.9116 2.0312 3.9499
Cl 5.9268 5.0092 1.2696
Cl 1.6226 4.2369 0.0504
Cl 4.3016 0.7666 1.2081
Cl 5.0137 2.9746 -2.6868
```

(2)
This record from the Alexandria database describes an optimized crystal structure of KCl8. The functional is GGA-PBE.

The structure in extended XYZ format:
```
9
Lattice="4.6665 -0.5126 7.0887 -4.6360 5.8789 -4.0293 -6.4272 -4.9594 2.5267" Properties=species:S:1:pos:R:3 pbc="T T T"
Cl -4.8209 -1.7114 3.0498
Cl -1.5759 2.1183 2.5363
Cl -1.0365 -3.2212 5.6604
Cl -0.7242 -2.2507 3.9550
Cl -1.1390 3.4762 0.1503
Cl -6.5127 0.5413 -0.8845
Cl -4.5506 0.3782 -0.6181
Cl 1.1694 1.8902 2.9092
K 0.0000 0.0000 0.0000
```

Number 1: uncorrected formation energy -1.7362 eV/atom. Number 2: uncorrected formation energy -0.0769 eV/atom.